(1)
The following is a DFT calculation (PBE) of crystalline SrGd2Pa at its relaxed geometry.

Summary:
DFT formation energy: 288 meV/atom
Symmetry: R-3m, No. 166

```
data_SrGd2Pa
_cell_length_a 3.528
_cell_length_b 3.528
_cell_length_c 37.144
_cell_angle_alpha 90.00
_cell_angle_beta 90.00
_cell_angle_gamma 120.00
_space_group_name_H-M_alt 'P 1'
_space_group_IT_number 1
loop_
_space_group_symop_operation_xyz
'x,y,z'
loop_
_atom_site_label
_atom_site_type_symbol
_atom_site_fract_x
_atom_site_fract_y
_atom_site_fract_z
Sr1 Sr 0.000 0.000 0.000
Sr2 Sr 0.333 0.667 0.667
Sr3 Sr 0.667 0.333 0.333
Gd1 Gd 0.000 0.000 0.095
Gd2 Gd 0.000 0.000 0.905
Gd3 Gd 0.333 0.667 0.572
Gd4 Gd 0.333 0.667 0.762
Gd5 Gd 0.667 0.333 0.238
Gd6 Gd 0.667 0.333 0.428
Pa1 Pa 0.000 0.000 0.500
Pa2 Pa 0.333 0.667 0.167
Pa3 Pa 0.667 0.333 0.833
```

***

(2)
The following is a DFT calculation (PBE) of crystalline Tb2GdPa at its relaxed geometry.

Summary:
DFT formation energy: 225 meV/atom
Symmetry: P4/mmm, No. 123

```
data_Tb2GdPa
_cell_length_a 4.915
_cell_length_b 4.915
_cell_length_c 4.935
_cell_angle_alpha 90.00
_cell_angle_beta 90.00
_cell_angle_gamma 90.00
_space_group_name_H-M_alt 'P 1'
_space_group_IT_number 1
loop_
_space_group_symop_operation_xyz
'x,y,z'
loop_
_atom_site_label
_atom_site_type_symbol
_atom_site_fract_x
_atom_site_fract_y
_atom_site_fract_z
Tb1 Tb 0.000 0.500 0.000
Tb2 Tb 0.500 0.000 0.000
Gd1 Gd 0.000 0.000 0.500
Pa1 Pa 0.500 0.500 0.500
```

***

(3)
The following is a DFT calculation (PBE) of crystalline Tb2GdPa at its relaxed geometry.

Summary:
DFT formation energy: 128 meV/atom
Symmetry: P4/mmm, No. 123

```
data_Tb2GdPa
_cell_length_a 3.429
_cell_length_b 3.429
_cell_length_c 10.211
_cell_angle_alpha 90.00
_cell_angle_beta 90.00
_cell_angle_gamma 90.00
_space_group_name_H-M_alt 'P 1'
_space_group_IT_number 1
loop_
_space_group_symop_operation_xyz
'x,y,z'
loop_
_atom_site_label
_atom_site_type_symbol
_atom_site_fract_x
_atom_site_fract_y
_atom_site_fract_z
Tb1 Tb 0.000 0.000 0.230
Tb2 Tb 0.000 0.000 0.770
Gd1 Gd 0.500 0.500 0.500
Pa1 Pa 0.500 0.500 0.000
```

***

(4)
The following is a DFT calculation (PBE) of crystalline TbGdThPa at its relaxed geometry.

Summary:
DFT formation energy: 350 meV/atom
Symmetry: F-43m, No. 216

```
data_TbGdThPa
_cell_length_a 7.869
_cell_length_b 7.869
_cell_length_c 7.869
_cell_angle_alpha 90.00
_cell_angle_beta 90.00
_cell_angle_gamma 90.00
_space_group_name_H-M_alt 'P 1'
_space_group_IT_number 1
loop_
_space_group_symop_operation_xyz
'x,y,z'
loop_
_atom_site_label
_atom_site_type_symbol
_atom_site_fract_x
_atom_site_fract_y
_atom_site_fract_z
Tb1 Tb 0.000 0.000 0.000
Tb2 Tb 0.000 0.500 0.500
Tb3 Tb 0.500 0.000 0.500
Tb4 Tb 0.500 0.500 0.000
Gd1 Gd 0.250 0.250 0.250
Gd2 Gd 0.250 0.750 0.750
Gd3 Gd 0.750 0.250 0.750
Gd4 Gd 0.750 0.750 0.250
Th1 Th 0.000 0.000 0.500
Th2 Th 0.000 0.500 0.000
Th3 Th 0.500 0.000 0.000
Th4 Th 0.500 0.500 0.500
Pa1 Pa 0.250 0.250 0.750
Pa2 Pa 0.250 0.750 0.250
Pa3 Pa 0.750 0.250 0.250
Pa4 Pa 0.750 0.750 0.750
```

***

(5)
The following is a DFT calculation (PBE) of crystalline TbGdTmPa at its relaxed geometry.

Summary:
DFT formation energy: 341 meV/atom
Symmetry: F-43m, No. 216

```
data_TbGdTmPa
_cell_length_a 7.855
_cell_length_b 7.855
_cell_length_c 7.855
_cell_angle_alpha 90.00
_cell_angle_beta 90.00
_cell_angle_gamma 90.00
_space_group_name_H-M_alt 'P 1'
_space_group_IT_number 1
loop_
_space_group_symop_operation_xyz
'x,y,z'
loop_
_atom_site_label
_atom_site_type_symbol
_atom_site_fract_x
_atom_site_fract_y
_atom_site_fract_z
Tb1 Tb 0.000 0.000 0.000
Tb2 Tb 0.000 0.500 0.500
Tb3 Tb 0.500 0.000 0.500
Tb4 Tb 0.500 0.500 0.000
Gd1 Gd 0.000 0.000 0.500
Gd2 Gd 0.000 0.500 0.000
Gd3 Gd 0.500 0.000 0.000
Gd4 Gd 0.500 0.500 0.500
Tm1 Tm 0.250 0.250 0.750
Tm2 Tm 0.250 0.750 0.250
Tm3 Tm 0.750 0.250 0.250
Tm4 Tm 0.750 0.750 0.750
Pa1 Pa 0.250 0.250 0.250
Pa2 Pa 0.250 0.750 0.750
Pa3 Pa 0.750 0.250 0.750
Pa4 Pa 0.750 0.750 0.250
```

***

(6)
The following is a DFT calculation (PBE) of crystalline GdPaVTc at its relaxed geometry.

Summary:
DFT formation energy: 176 meV/atom
Symmetry: F-43m, No. 216

```
data_GdPaVTc
_cell_length_a 6.946
_cell_length_b 6.946
_cell_length_c 6.946
_cell_angle_alpha 90.00
_cell_angle_beta 90.00
_cell_angle_gamma 90.00
_space_group_name_H-M_alt 'P 1'
_space_group_IT_number 1
loop_
_space_group_symop_operation_xyz
'x,y,z'
loop_
_atom_site_label
_atom_site_type_symbol
_atom_site_fract_x
_atom_site_fract_y
_atom_site_fract_z
Gd1 Gd 0.000 0.000 0.000
Gd2 Gd 0.000 0.500 0.500
Gd3 Gd 0.500 0.000 0.500
Gd4 Gd 0.500 0.500 0.000
Pa1 Pa 0.000 0.000 0.500
Pa2 Pa 0.000 0.500 0.000
Pa3 Pa 0.500 0.000 0.000
Pa4 Pa 0.500 0.500 0.500
V1 V 0.250 0.250 0.750
V2 V 0.250 0.750 0.250
V3 V 0.750 0.250 0.250
V4 V 0.750 0.750 0.750
Tc1 Tc 0.250 0.250 0.250
Tc2 Tc 0.250 0.750 0.750
Tc3 Tc 0.750 0.250 0.750
Tc4 Tc 0.750 0.750 0.250
```

***

(7)
The following is a DFT calculation (PBE) of crystalline GdPaZnTc at its relaxed geometry.

Summary:
DFT formation energy: -56 meV/atom
Symmetry: F-43m, No. 216

```
data_GdPaZnTc
_cell_length_a 6.992
_cell_length_b 6.992
_cell_length_c 6.992
_cell_angle_alpha 90.00
_cell_angle_beta 90.00
_cell_angle_gamma 90.00
_space_group_name_H-M_alt 'P 1'
_space_group_IT_number 1
loop_
_space_group_symop_operation_xyz
'x,y,z'
loop_
_atom_site_label
_atom_site_type_symbol
_atom_site_fract_x
_atom_site_fract_y
_atom_site_fract_z
Gd1 Gd 0.000 0.000 0.000
Gd2 Gd 0.000 0.500 0.500
Gd3 Gd 0.500 0.000 0.500
Gd4 Gd 0.500 0.500 0.000
Pa1 Pa 0.000 0.000 0.500
Pa2 Pa 0.000 0.500 0.000
Pa3 Pa 0.500 0.000 0.000
Pa4 Pa 0.500 0.500 0.500
Zn1 Zn 0.250 0.250 0.250
Zn2 Zn 0.250 0.750 0.750
Zn3 Zn 0.750 0.250 0.750
Zn4 Zn 0.750 0.750 0.250
Tc1 Tc 0.250 0.250 0.750
Tc2 Tc 0.250 0.750 0.250
Tc3 Tc 0.750 0.250 0.250
Tc4 Tc 0.750 0.750 0.750
```

***

(8)
The following is a DFT calculation (PBE) of crystalline GdPaTe at its relaxed geometry.

Summary:
ΔE_f (raw): -0.116 eV/atom
Symmetry: P3m1, No. 156

```
data_GdPaTe
_cell_length_a 5.210
_cell_length_b 5.210
_cell_length_c 3.659
_cell_angle_alpha 90.00
_cell_angle_beta 90.00
_cell_angle_gamma 120.00
_space_group_name_H-M_alt 'P 1'
_space_group_IT_number 1
loop_
_space_group_symop_operation_xyz
'x,y,z'
loop_
_atom_site_label
_atom_site_type_symbol
_atom_site_fract_x
_atom_site_fract_y
_atom_site_fract_z
Gd1 Gd 0.000 0.000 0.000
Pa1 Pa 0.333 0.667 0.500
Te1 Te 0.667 0.333 0.997
```

***

(9)
The following is a DFT calculation (PBE) of crystalline GdThPa2 at its relaxed geometry.

Summary:
DFT formation energy: 186 meV/atom
Symmetry: P4/mmm, No. 123

```
data_GdThPa2
_cell_length_a 3.357
_cell_length_b 3.357
_cell_length_c 9.921
_cell_angle_alpha 90.00
_cell_angle_beta 90.00
_cell_angle_gamma 90.00
_space_group_name_H-M_alt 'P 1'
_space_group_IT_number 1
loop_
_space_group_symop_operation_xyz
'x,y,z'
loop_
_atom_site_label
_atom_site_type_symbol
_atom_site_fract_x
_atom_site_fract_y
_atom_site_fract_z
Gd1 Gd 0.000 0.000 0.000
Th1 Th 0.000 0.000 0.500
Pa1 Pa 0.500 0.500 0.252
Pa2 Pa 0.500 0.500 0.748
```

***

(10)
The following is a DFT calculation (PBE) of crystalline GdThPa2 at its relaxed geometry.

Summary:
DFT formation energy: 195 meV/atom
Symmetry: P4/mmm, No. 123

```
data_GdThPa2
_cell_length_a 4.708
_cell_length_b 4.708
_cell_length_c 5.002
_cell_angle_alpha 90.00
_cell_angle_beta 90.00
_cell_angle_gamma 90.00
_space_group_name_H-M_alt 'P 1'
_space_group_IT_number 1
loop_
_space_group_symop_operation_xyz
'x,y,z'
loop_
_atom_site_label
_atom_site_type_symbol
_atom_site_fract_x
_atom_site_fract_y
_atom_site_fract_z
Gd1 Gd 0.000 0.000 0.000
Th1 Th 0.500 0.500 0.000
Pa1 Pa 0.000 0.500 0.500
Pa2 Pa 0.500 0.000 0.500
```

***

(11)
The following is a DFT calculation (PBE) of crystalline GdThPa at its relaxed geometry.

Summary:
DFT formation energy: 262 meV/atom
Symmetry: P-6m2, No. 187

```
data_GdThPa
_cell_length_a 5.507
_cell_length_b 5.507
_cell_length_c 3.353
_cell_angle_alpha 90.00
_cell_angle_beta 90.00
_cell_angle_gamma 120.00
_space_group_name_H-M_alt 'P 1'
_space_group_IT_number 1
loop_
_space_group_symop_operation_xyz
'x,y,z'
loop_
_atom_site_label
_atom_site_type_symbol
_atom_site_fract_x
_atom_site_fract_y
_atom_site_fract_z
Gd1 Gd 0.000 0.000 0.000
Th1 Th 0.667 0.333 0.500
Pa1 Pa 0.333 0.667 0.000
```

***

(12)
The following is a DFT calculation (PBE) of crystalline GdThPa2 at its relaxed geometry.

Summary:
DFT formation energy: 444 meV/atom
Symmetry: Fm-3m, No. 225

```
data_GdThPa2
_cell_length_a 7.668
_cell_length_b 7.668
_cell_length_c 7.668
_cell_angle_alpha 90.00
_cell_angle_beta 90.00
_cell_angle_gamma 90.00
_space_group_name_H-M_alt 'P 1'
_space_group_IT_number 1
loop_
_space_group_symop_operation_xyz
'x,y,z'
loop_
_atom_site_label
_atom_site_type_symbol
_atom_site_fract_x
_atom_site_fract_y
_atom_site_fract_z
Gd1 Gd 0.000 0.000 0.000
Gd2 Gd 0.000 0.500 0.500
Gd3 Gd 0.500 0.000 0.500
Gd4 Gd 0.500 0.500 0.000
Th1 Th 0.000 0.000 0.500
Th2 Th 0.000 0.500 0.000
Th3 Th 0.500 0.000 0.000
Th4 Th 0.500 0.500 0.500
Pa1 Pa 0.250 0.250 0.250
Pa2 Pa 0.250 0.250 0.750
Pa3 Pa 0.250 0.750 0.250
Pa4 Pa 0.250 0.750 0.750
Pa5 Pa 0.750 0.250 0.250
Pa6 Pa 0.750 0.250 0.750
Pa7 Pa 0.750 0.750 0.250
Pa8 Pa 0.750 0.750 0.750
```

***

| no. | total DFT energy (no corrections) (eV/cell) |
| --- | --- |
| 1 | -114.56 |
| 2 | -31.94 |
| 3 | -32.32 |
| 4 | -136.90 |
| 5 | -125.25 |
| 6 | -169.43 |
| 7 | -141.76 |
| 8 | -27.07 |
| 9 | -39.75 |
| 10 | -39.71 |
| 11 | -30.21 |
| 12 | -154.87 |